[1]
The following is a PBE calculation of a relaxed structure of Pr4Tm3S8, from Alexandria via LeMat-Bulk.

Geometry as POSCAR:
```
Pr4Tm3S8
1.0
-6.891 3.985 -0.560
1.722 -4.096 6.618
6.874 3.978 0.681
S Pr Tm
8 4 3
direct
0.512 0.264 0.264
0.500 0.742 0.258
0.500 0.258 0.742
0.000 0.744 0.256
0.000 0.256 0.744
0.488 0.736 0.736
0.017 0.263 0.263
0.983 0.737 0.737
0.000 0.500 0.000
0.000 0.000 0.000
0.500 0.000 0.000
0.000 0.000 0.500
0.500 0.500 0.500
0.500 0.000 0.500
0.500 0.500 0.000
```

Output
VASP energy	-6.35	eV/atom
ΔE_f (raw)	-190.91	kJ/mol of atoms

[2]
The following is a PBE calculation of a relaxed structure of Pr3TmS4, from Alexandria via LeMat-Bulk.

Geometry as POSCAR:
```
Pr3TmS4
1.0
3.983 0.000 0.000
0.000 7.042 -0.020
0.000 -2.239 6.677
Pr S Tm
3 4 1
direct
0.000 0.500 0.000
0.000 0.000 0.500
0.500 0.500 0.500
0.000 0.768 0.768
0.500 0.759 0.241
0.000 0.232 0.232
0.500 0.241 0.759
0.500 0.000 0.000
```

Output
VASP energy	-6.41	eV/atom
ΔE_f (raw)	-192.04	kJ/mol of atoms

[3]
The following is a PBE calculation of a relaxed structure of Pr2TmS3, from Alexandria via LeMat-Bulk.

Geometry as POSCAR:
```
Pr2TmS3
1.0
6.832 -0.030 -1.143
-3.689 5.751 -1.143
0.006 0.010 7.036
Pr S Tm
4 6 2
direct
0.493 0.507 0.500
0.833 0.167 0.500
0.333 0.667 0.000
0.173 0.827 0.500
0.760 0.745 0.235
0.062 0.395 0.229
0.907 0.589 0.765
0.411 0.093 0.235
0.605 0.938 0.771
0.255 0.240 0.765
0.667 0.333 0.000
0.000 0.000 0.000
```

Output
VASP energy	-6.40	eV/atom
ΔE_f (raw)	-192.42	kJ/mol of atoms

[4]
The following is a PBE calculation of a relaxed structure of PrTmS2, from Alexandria via LeMat-Bulk.

Geometry as POSCAR:
```
PrTmS2
1.0
3.915 0.008 0.015
1.943 3.399 0.015
1.932 1.124 6.700
Pr S Tm
1 2 1
direct
0.500 0.500 0.500
0.259 0.259 0.224
0.741 0.741 0.776
0.000 0.000 0.000
```

Output
VASP energy	-6.37	eV/atom
ΔE_f (raw)	-192.15	kJ/mol of atoms